First-principles (meta-GGA SCAN) data for a crystal of Ga2SnPb2 relaxed with PBEsol, as listed in Alexandria.

a b c (Å): 4.651 7.311 7.311
angles (deg): 90.00 90.00 90.00
Fractional coordinates of all 10 atoms:
Pb: 0.500 0.184 0.684
Ga: 0.000 0.876 0.624
Pb: 0.500 0.316 0.184
Ga: 0.000 0.624 0.124
Ga: 0.000 0.376 0.876
Ga: 0.000 0.124 0.376
Sn: 0.000 0.000 0.000
Pb: 0.500 0.684 0.816
Pb: 0.500 0.816 0.316
Sn: 0.000 0.500 0.500

Raw total energy: -43.921 eV/atom

First-principles (meta-GGA SCAN) data for a crystal of GaSn2Pb2 relaxed with PBEsol, as listed in Alexandria.

a b c (Å): 5.170 7.300 7.300
angles (deg): 90.00 90.00 90.00
Fractional coordinates of all 10 atoms:
Sn: 0.000 0.359 0.859
Ga: 0.000 0.500 0.500
Sn: 0.000 0.141 0.359
Pb: 0.500 0.817 0.317
Pb: 0.500 0.683 0.817
Sn: 0.000 0.641 0.141
Pb: 0.500 0.317 0.183
Pb: 0.500 0.183 0.683
Ga: 0.000 0.000 0.000
Sn: 0.000 0.859 0.641

Raw total energy: -47.798 eV/atom

First-principles (meta-GGA SCAN) data for a crystal of SrGa3Pb relaxed with PBEsol, as listed in Alexandria.

a b c (Å): 5.415 5.415 5.415
angles (deg): 90.00 90.00 90.00
Fractional coordinates of all 5 atoms:
Ga: 0.000 0.500 0.000
Pb: 0.000 0.000 0.000
Sr: 0.500 0.500 0.500
Ga: 0.500 0.000 0.000
Ga: 0.000 0.000 0.500

Raw total energy: -29.148 eV/atom

First-principles (meta-GGA SCAN) data for a crystal of Sr2Ga2Pb relaxed with PBEsol, as listed in Alexandria.

a b c (Å): 5.029 5.029 7.074
angles (deg): 110.82 110.82 90.00
Fractional coordinates of all 5 atoms:
Sr: 0.250 0.750 0.500
Sr: 0.750 0.250 0.500
Ga: 0.406 0.406 0.812
Pb: 0.000 0.000 0.000
Ga: 0.594 0.594 0.188

Raw total energy: -30.762 eV/atom

First-principles (meta-GGA SCAN) data for a crystal of Sr3GaPb relaxed with PBEsol, as listed in Alexandria.

a b c (Å): 6.271 6.271 6.271
angles (deg): 90.00 90.00 90.00
Fractional coordinates of all 5 atoms:
Sr: 0.500 0.000 0.000
Pb: 0.000 0.000 0.000
Sr: 0.000 0.500 0.000
Ga: 0.500 0.500 0.500
Sr: 0.000 0.000 0.500

Raw total energy: -31.827 eV/atom

First-principles (meta-GGA SCAN) data for a crystal of SrTaGa2Pb relaxed with PBEsol, as listed in Alexandria.

a b c (Å): 5.203 5.372 5.372
angles (deg): 90.00 90.00 90.00
Fractional coordinates of all 5 atoms:
Ga: 0.000 0.000 0.500
Ta: 0.500 0.000 0.000
Pb: 0.500 0.500 0.500
Ga: 0.000 0.500 0.000
Sr: 0.000 0.000 0.000

Raw total energy: -37.623 eV/atom

First-principles (meta-GGA SCAN) data for a crystal of TaGaPb3 relaxed with PBEsol, as listed in Alexandria.

a b c (Å): 5.247 5.247 5.247
angles (deg): 90.00 90.00 90.00
Each line ends with the local moment (μB).
Fractional coordinates of all 5 atoms:
Pb: 0.000 0.000 0.500  -0.01
Pb: 0.500 0.000 0.000  -0.01
Pb: 0.000 0.500 0.000  -0.01
Ta: 0.500 0.500 0.500  2.07
Ga: 0.000 0.000 0.000  0.04

Raw total energy: -60.757 eV/atom

First-principles (meta-GGA SCAN) data for a crystal of Ta2Ga2Pb relaxed with PBEsol, as listed in Alexandria.

a b c (Å): 3.679 3.679 7.353
angles (deg): 104.49 104.49 90.00
Fractional coordinates of all 5 atoms:
Ta: 0.398 0.398 0.796
Ga: 0.250 0.750 0.500
Pb: 0.000 0.000 0.000
Ta: 0.602 0.602 0.204
Ga: 0.750 0.250 0.500

Raw total energy: -48.078 eV/atom

Copy entry 8 word for word.
First-principles (meta-GGA SCAN) data for a crystal of Ta2Ga2Pb relaxed with PBEsol, as listed in Alexandria.

a b c (Å): 3.679 3.679 7.353
angles (deg): 104.49 104.49 90.00
Fractional coordinates of all 5 atoms:
Ta: 0.398 0.398 0.796
Ga: 0.250 0.750 0.500
Pb: 0.000 0.000 0.000
Ta: 0.602 0.602 0.204
Ga: 0.750 0.250 0.500

Raw total energy: -48.078 eV/atom

What is the raw total energy in the seventh record?
-60.757 eV/atom